VASP calculation (PBE-GGA) on a relaxed structure of CaCuAg2.

Cell lengths 8.701, 8.701, 8.701 Å; angles 22.68, 22.68, 22.68 degrees
Sites, in units of the cell vectors:
Ag (0.257, 0.257, 0.257)
Cu (0.743, 0.743, 0.743)
Ag (0.006, 0.006, 0.006)
Ca (0.495, 0.495, 0.495)

Calculated values
calculated volume	21.48	Å³/atom
SG	R3m
formation energy from the elements	0.84	eV per formula unit
excess energy over the best structure of this formula in the dataset	30.34	kJ per mole of atoms

VASP calculation (PBE-GGA) on a relaxed structure of AlReN2O.

Cell lengths 3.933, 3.933, 3.860 Å; angles 90.00, 90.00, 90.00 degrees
Sites, in units of the cell vectors:
O (0.000, 0.000, 0.500)
Al (0.500, 0.500, 0.500)
N (0.000, 0.500, 0.000)
N (0.500, 0.000, 0.000)
Re (0.000, 0.000, 0.000)

Calculated values
calculated volume	11.94	Å³/atom
SG	P4/mmm
energy relative to the elements, uncorrected	48	meV/atom

- Which of these has the lowest calculated volume?
  AlReN2O